[1]
# HfTa2InH

An optimized crystal structure of HfTa2InH (PBE, Alexandria via LeMat-Bulk).

```
5
Lattice="-3.5029 2.0482 0.9305 -0.4826 -2.3659 3.3913 2.4406 3.0496 2.4749" Properties=species:S:1:pos:R:3 pbc="T T T"
H 0.0000 0.0000 0.0000
In -0.7725 1.3659 3.3983
Hf 1.2203 1.5248 1.2374
Ta -0.2413 -1.1830 1.6956
Ta -1.7514 1.0241 0.4652
```

## Properties
Total energy   -8.001 eV/atom
Total magnetic moment   0.00 μB per formula unit


[2]
# GePdPtAu

An optimized crystal structure of GePdPtAu (PBE, Alexandria via LeMat-Bulk).

```
4
Lattice="-1.0388 -2.4263 -3.6706 -2.9807 -3.3862 0.2977 -4.0825 0.4086 -1.8989" Properties=species:S:1:pos:R:3 pbc="T T T"
Ge 0.0000 0.0000 0.0000
Au -4.0510 -2.7019 -2.6359
Pd -2.0255 -1.3510 -1.3179
Pt -6.0765 -4.0529 -3.9538
```

## Properties
Formation enthalpy at 0 K   -145 meV/atom
Total magnetic moment   0.00 μB per formula unit


[3]
# KMg2SbF

An optimized crystal structure of KMg2SbF (PBE, Alexandria via LeMat-Bulk).

```
5
Lattice="7.0082 0.0000 0.0000 0.0000 6.5782 0.0000 0.0000 0.0000 7.0082" Properties=species:S:1:pos:R:3 pbc="T T T"
Sb 0.0000 3.2891 0.0000
K 0.0000 0.0000 0.0000
Mg 0.0000 0.0000 3.5041
Mg 3.5041 0.0000 0.0000
F 3.5041 3.2891 3.5041
```

## Properties
Total magnetic moment   3.00 μB per formula unit
Energy relative to the elements, uncorrected   0.654 eV per atom


[4]
# RbIrOsO6

An optimized crystal structure of RbIrOsO6 (PBE, Alexandria via LeMat-Bulk).

```
18
Lattice="-5.7618 3.1434 -2.8744 -3.5034 -0.6030 6.3633 6.4230 3.3099 -0.3247" Properties=species:S:1:pos:R:3 pbc="T T T"
Rb -2.4062 4.8759 1.2246
Rb -0.4360 0.9744 1.9396
Ir 0.3306 3.2266 -1.5995
Ir 3.2115 1.6549 -0.1623
Os -4.6326 1.2702 1.7444
Os -2.8809 1.5717 -1.4372
O 0.7009 3.8827 2.8411
O -0.8452 4.6894 -2.1083
O -3.3398 3.3348 -1.9700
O -3.2857 1.7787 2.9814
O -1.1586 2.1448 -0.8819
O -5.4669 2.9687 1.8933
O -3.5431 1.9676 0.3231
O -1.9970 1.1609 5.2725
O 0.4977 2.5155 5.1342
O 0.4435 4.0716 0.1828
O -1.6836 3.7055 4.0461
O 2.6247 2.8816 1.2709
```

## Properties
Total magnetic moment   0.00 μB per formula unit
Energy relative to the elements, uncorrected   -1.079 eV per atom


[5]
# CoPPtCl2

An optimized crystal structure of CoPPtCl2 (PBE, Alexandria via LeMat-Bulk).

```
5
Lattice="4.9853 0.0000 0.0000 0.0000 4.9853 0.0000 0.0000 0.0000 4.5878" Properties=species:S:1:pos:R:3 pbc="T T T"
P 0.0000 0.0000 2.2939
Co 2.4926 2.4926 2.2939
Pt 0.0000 0.0000 0.0000
Cl 0.0000 2.4926 0.0000
Cl 2.4926 0.0000 0.0000
```

## Properties
Total magnetic moment   2.38 μB per formula unit
Relative energy among the computed polymorphs   11.4 kJ per mole of atoms
Energy relative to the elements, uncorrected   0.767 eV per atom


[6]
# LiAsIr2

An optimized crystal structure of LiAsIr2 (PBE, Alexandria via LeMat-Bulk).

```
4
Lattice="4.4908 0.0003 -0.0028 3.5977 2.6878 -0.0028 0.6020 0.2001 4.7015" Properties=species:S:1:pos:R:3 pbc="T T T"
As 2.1726 0.7220 1.1740
Ir 8.6544 2.8761 4.6945
Ir 4.3814 1.4561 2.3494
Li 6.5179 2.1661 3.5219
```

## Properties
Formation enthalpy at 0 K   -137 meV/atom
Total magnetic moment   0.00 μB per formula unit